Entry from Alexandria via LeMat-Bulk: a geometry-optimized In3Ag2Sn structure (GGA-PBE).

```
data_In3Ag2Sn
_cell_length_a 8.4283
_cell_length_b 7.2919
_cell_length_c 9.7748
_cell_angle_alpha 90.00
_cell_angle_beta 95.75
_cell_angle_gamma 90.00
_symmetry_space_group_name_H-M 'P 1 21/c 1'
_symmetry_Int_Tables_number 14
_symmetry_space_group_name_Hall '-P 2ybc'
loop_
_atom_site_label
_atom_site_type_symbol
_atom_site_fract_x
_atom_site_fract_y
_atom_site_fract_z
In1 In 0.1396 0.1306 0.0446
In2 In 0.1602 0.6111 0.0274
In3 In 0.3214 0.6437 0.3153
Ag1 Ag 0.0356 0.1176 0.7514
Ag2 Ag 0.4194 0.6080 0.6045
Sn1 Sn 0.3306 0.1283 0.3296
```

Properties
ΔE_f = 0.070 eV/atom
Density = 7.54 g/cm3
Crystal system = monoclinic
Size of the total moment = 0.000 μB per atom